PBE-GGA In6Sn3Bi, optimized geometry; DOS(E_F) = 4.055 states/eV/f.u.; total magnetic moment = 0.00 μB per formula unit; space-group type = P2_1/m, No. 11; energy of formation = 0.3 eV per formula unit
1.0
-3.835 1.877 -2.907
-3.892 -9.188 -0.799
-2.528 9.684 9.589
Sn In Bi
6 12 2
Direct
0.750 0.470 0.815
0.750 0.254 0.005
0.250 0.530 0.185
0.250 0.746 0.995
0.750 0.860 0.403
0.250 0.140 0.597
0.250 0.139 0.090
0.750 0.067 0.705
0.750 0.259 0.511
0.750 0.861 0.910
0.250 0.950 0.796
0.250 0.348 0.895
0.750 0.652 0.105
0.750 0.458 0.303
0.250 0.741 0.489
0.250 0.542 0.697
0.250 0.933 0.295
0.750 0.050 0.204
0.250 0.325 0.385
0.750 0.675 0.615